A geometry-optimized TaCdP2Cl structure. Source: Alexandria via LeMat-Bulk, functional GGA-PBE. Values from VASP.

Space group ... No. 123
Formation energy (no corrections) ... 0.016 eV/atom
Polymorph energy (0 for the lowest one) ... 0.000 kcal/mol of atoms

```
&SYSTEM
  ibrav = 0, nat = 5, ntyp = 4
/
ATOMIC_SPECIES
Ta 180.95 Ta.upf
Cd 112.41 Cd.upf
P 30.97 P.upf
Cl 35.45 Cl.upf
CELL_PARAMETERS angstrom
4.8784 0.0000 0.0000
0.0000 4.8784 0.0000
0.0000 0.0000 4.8544
ATOMIC_POSITIONS crystal
Ta 0.0000 0.0000 0.0000
Cd 0.5000 0.5000 0.5000
P 0.0000 0.5000 0.0000
P 0.5000 0.0000 0.0000
Cl 0.0000 0.0000 0.5000
```

A geometry-optimized TaCdP2Cl structure. Source: Alexandria via LeMat-Bulk, functional GGA-PBE. Values from VASP.

Space group ... No. 123
Formation energy (no corrections) ... 1.420 eV/atom
Polymorph energy (0 for the lowest one) ... 32.384 kcal/mol of atoms

```
&SYSTEM
  ibrav = 0, nat = 5, ntyp = 4
/
ATOMIC_SPECIES
Ta 180.95 Ta.upf
Cd 112.41 Cd.upf
P 30.97 P.upf
Cl 35.45 Cl.upf
CELL_PARAMETERS angstrom
4.8697 0.0000 0.0000
0.0000 4.8697 0.0000
0.0000 0.0000 4.8201
ATOMIC_POSITIONS crystal
Ta 0.0000 0.0000 0.0000
Cd 0.5000 0.5000 0.5000
P 0.0000 0.5000 0.5000
P 0.5000 0.0000 0.5000
Cl 0.5000 0.5000 0.0000
```

A geometry-optimized TaCdPCl2 structure. Source: Alexandria via LeMat-Bulk, functional GGA-PBE. Values from VASP.

Space group ... No. 123
Formation energy (no corrections) ... -0.235 eV/atom
Polymorph energy (0 for the lowest one) ... 0.000 kcal/mol of atoms

```
&SYSTEM
  ibrav = 0, nat = 5, ntyp = 4
/
ATOMIC_SPECIES
Ta 180.95 Ta.upf
Cd 112.41 Cd.upf
P 30.97 P.upf
Cl 35.45 Cl.upf
CELL_PARAMETERS angstrom
4.8407 0.0000 0.0000
0.0000 4.8407 0.0000
0.0000 0.0000 4.9948
ATOMIC_POSITIONS crystal
Ta 0.0000 0.0000 0.0000
Cd 0.5000 0.5000 0.5000
P 0.0000 0.0000 0.5000
Cl 0.0000 0.5000 0.0000
Cl 0.5000 0.0000 0.0000
```

A geometry-optimized TaCdPCl2 structure. Source: Alexandria via LeMat-Bulk, functional GGA-PBE. Values from VASP.

Space group ... No. 123
Formation energy (no corrections) ... 0.951 eV/atom
Polymorph energy (0 for the lowest one) ... 27.366 kcal/mol of atoms

```
&SYSTEM
  ibrav = 0, nat = 5, ntyp = 4
/
ATOMIC_SPECIES
Ta 180.95 Ta.upf
Cd 112.41 Cd.upf
P 30.97 P.upf
Cl 35.45 Cl.upf
CELL_PARAMETERS angstrom
4.8349 0.0000 0.0000
0.0000 4.8349 0.0000
0.0000 0.0000 5.4161
ATOMIC_POSITIONS crystal
Ta 0.0000 0.0000 0.0000
Cd 0.5000 0.5000 0.5000
P 0.5000 0.5000 0.0000
Cl 0.0000 0.5000 0.5000
Cl 0.5000 0.0000 0.5000
```